(1)
{
  "formula": "CrInTcN",
  "functional": "PBE",
  "state": "optimized geometry",
  "lattice_angstrom": [[2.755, 0.000, 0.000], [0.000, 2.853, 0.000], [0.000, 0.000, 6.839]],
  "species": ["Cr", "In", "Tc", "N"],
  "frac_coords": [[0.000, 0.000, 0.000], [0.500, 0.000, 0.367], [0.000, 0.500, 0.684], [0.500, 0.500, 0.920]],
  "space_group": "Pmm2, No. 25",
  "volume_a3_per_atom": 13.4
}

(2)
{
  "formula": "CrInTcN",
  "functional": "PBE",
  "state": "optimized geometry",
  "lattice_angstrom": [[4.307, 0.000, 0.000], [0.000, 2.904, 0.000], [-1.170, 0.000, 4.939]],
  "species": ["Cr", "In", "Tc", "N"],
  "frac_coords": [[0.000, 0.000, 0.000], [0.246, 0.500, 0.617], [0.493, 0.000, 0.230], [0.759, 0.500, 0.096]],
  "space_group": "Pm, No. 6",
  "volume_a3_per_atom": 15.4
}

(3)
{
  "formula": "CrInTcN",
  "functional": "PBE",
  "state": "optimized geometry",
  "lattice_angstrom": [[3.005, 0.000, 0.000], [-1.502, 2.602, 0.000], [0.000, 0.000, 22.859]],
  "species": ["Cr", "Cr", "Cr", "In", "In", "In", "Tc", "Tc", "Tc", "N", "N", "N"],
  "frac_coords": [[0.000, 0.000, 0.000], [0.333, 0.667, 0.667], [0.667, 0.333, 0.333], [0.000, 0.000, 0.468], [0.333, 0.667, 0.135], [0.667, 0.333, 0.802], [0.000, 0.000, 0.907], [0.333, 0.667, 0.574], [0.667, 0.333, 0.240], [0.000, 0.000, 0.363], [0.333, 0.667, 0.030], [0.667, 0.333, 0.697]],
  "space_group": "R3m, No. 160",
  "volume_a3_per_atom": 14.9
}

(4)
{
  "formula": "CrInTcN",
  "functional": "PBE",
  "state": "optimized geometry",
  "lattice_angstrom": [[3.084, 0.000, 0.000], [-1.542, 2.671, 0.000], [0.000, 0.000, 19.918]],
  "species": ["Cr", "Cr", "Cr", "In", "In", "In", "Tc", "Tc", "Tc", "N", "N", "N"],
  "frac_coords": [[0.000, 0.000, 0.000], [0.333, 0.667, 0.667], [0.667, 0.333, 0.333], [0.000, 0.000, 0.787], [0.333, 0.667, 0.453], [0.667, 0.333, 0.120], [0.000, 0.000, 0.236], [0.333, 0.667, 0.902], [0.667, 0.333, 0.569], [0.000, 0.000, 0.632], [0.333, 0.667, 0.298], [0.667, 0.333, 0.965]],
  "space_group": "R3m, No. 160",
  "volume_a3_per_atom": 13.7
}

Which of them is the most stable? Correct choice: (4).

(1)
{
  "formula": "CrInTcN",
  "functional": "PBE",
  "state": "optimized geometry",
  "lattice_angstrom": [[2.826, 0.000, 0.000], [0.000, 2.826, 0.000], [0.000, 0.000, 6.868]],
  "species": ["Cr", "In", "Tc", "N"],
  "frac_coords": [[0.000, 0.000, 0.000], [0.000, 0.000, 0.413], [0.500, 0.500, 0.732], [0.500, 0.500, 0.022]],
  "space_group": "P4mm, No. 99",
  "volume_a3_per_atom": 13.7
}

(2)
{
  "formula": "CrInTcN",
  "functional": "PBE",
  "state": "optimized geometry",
  "lattice_angstrom": [[3.033, 0.000, 0.000], [0.000, 3.332, 0.000], [0.000, 0.000, 11.957]],
  "species": ["Cr", "Cr", "In", "In", "Tc", "Tc", "N", "N"],
  "frac_coords": [[0.000, 0.000, 0.000], [0.500, 0.500, 0.500], [0.000, 0.000, 0.663], [0.500, 0.500, 0.163], [0.000, 0.000, 0.329], [0.500, 0.500, 0.829], [0.000, 0.500, 0.409], [0.500, 0.000, 0.909]],
  "space_group": "Imm2, No. 44",
  "volume_a3_per_atom": 15.1
}

Which of them is the most stable? Correct choice: (1).

(1)
{
  "formula": "CrInTcN",
  "functional": "PBE",
  "state": "optimized geometry",
  "lattice_angstrom": [[5.617, 0.000, 0.000], [0.000, 3.041, 0.000], [-2.584, 0.000, 6.879]],
  "species": ["Cr", "Cr", "In", "In", "Tc", "Tc", "N", "N"],
  "frac_coords": [[0.000, 0.000, 0.000], [0.500, 0.500, 0.000], [0.276, 0.000, 0.613], [0.776, 0.500, 0.613], [0.305, 0.500, 0.288], [0.805, 0.000, 0.288], [0.173, 0.500, 0.994], [0.673, 0.000, 0.994]],
  "space_group": "Cm, No. 8",
  "volume_a3_per_atom": 14.7
}

(2)
{
  "formula": "CrInTcN",
  "functional": "PBE",
  "state": "optimized geometry",
  "lattice_angstrom": [[3.952, 0.000, 0.000], [0.000, 2.964, 0.000], [0.000, 0.000, 10.616]],
  "species": ["Cr", "Cr", "In", "In", "Tc", "Tc", "N", "N"],
  "frac_coords": [[0.000, 0.000, 0.000], [0.000, 0.500, 0.500], [0.500, 0.000, 0.670], [0.500, 0.500, 0.170], [0.500, 0.000, 0.401], [0.500, 0.500, 0.901], [0.000, 0.000, 0.393], [0.000, 0.500, 0.893]],
  "space_group": "Amm2, No. 38",
  "volume_a3_per_atom": 15.5
}

Which of them is the most stable? Correct choice: (2).

(1)
{
  "formula": "CrInTcN",
  "functional": "PBE",
  "state": "optimized geometry",
  "lattice_angstrom": [[4.727, 0.000, 0.000], [0.000, 3.018, 0.000], [-0.475, 0.000, 4.822]],
  "species": ["Cr", "In", "Tc", "N"],
  "frac_coords": [[0.000, 0.000, 0.000], [0.501, 0.500, 0.883], [0.977, 0.500, 0.545], [0.127, 0.000, 0.368]],
  "space_group": "Pm, No. 6",
  "volume_a3_per_atom": 17.2
}

(2)
{
  "formula": "CrInTcN",
  "functional": "PBE",
  "state": "optimized geometry",
  "lattice_angstrom": [[5.345, 0.000, 0.000], [0.000, 3.081, 0.000], [-1.771, 0.000, 6.613]],
  "species": ["Cr", "Cr", "In", "In", "Tc", "Tc", "N", "N"],
  "frac_coords": [[0.000, 0.000, 0.000], [0.500, 0.500, 0.000], [0.047, 0.500, 0.644], [0.547, 0.000, 0.644], [0.264, 0.500, 0.295], [0.764, 0.000, 0.295], [0.365, 0.000, 0.097], [0.865, 0.500, 0.097]],
  "space_group": "Cm, No. 8",
  "volume_a3_per_atom": 13.6
}

Which of them is the most stable? Correct choice: (2).

(1)
{
  "formula": "CrInTcN",
  "functional": "PBE",
  "state": "optimized geometry",
  "lattice_angstrom": [[3.089, 0.000, 0.000], [-1.545, 2.675, 0.000], [0.000, 0.000, 19.832]],
  "species": ["Cr", "Cr", "Cr", "In", "In", "In", "Tc", "Tc", "Tc", "N", "N", "N"],
  "frac_coords": [[0.000, 0.000, 0.000], [0.333, 0.667, 0.667], [0.667, 0.333, 0.333], [0.000, 0.000, 0.786], [0.333, 0.667, 0.453], [0.667, 0.333, 0.120], [0.000, 0.000, 0.570], [0.333, 0.667, 0.236], [0.667, 0.333, 0.903], [0.000, 0.000, 0.302], [0.333, 0.667, 0.968], [0.667, 0.333, 0.635]],
  "space_group": "R3m, No. 160",
  "volume_a3_per_atom": 13.7
}

(2)
{
  "formula": "CrInTcN",
  "functional": "PBE",
  "state": "optimized geometry",
  "lattice_angstrom": [[3.773, 0.000, 0.000], [0.000, 3.967, 0.000], [0.000, 0.000, 4.320]],
  "species": ["Cr", "In", "Tc", "N"],
  "frac_coords": [[0.000, 0.000, 0.000], [0.000, 0.500, 0.500], [0.500, 0.500, 0.000], [0.500, 0.000, 0.000]],
  "space_group": "Pmmm, No. 47",
  "volume_a3_per_atom": 16.2
}

Which of them is the most stable? Correct choice: (1).

(1)
{
  "formula": "CrInTcN",
  "functional": "PBE",
  "state": "optimized geometry",
  "lattice_angstrom": [[3.060, 0.000, 0.000], [-1.530, 2.650, 0.000], [0.000, 0.000, 6.732]],
  "species": ["Cr", "In", "Tc", "N"],
  "frac_coords": [[0.000, 0.000, 0.000], [0.333, 0.667, 0.356], [0.667, 0.333, 0.705], [0.333, 0.667, 0.888]],
  "space_group": "P3m1, No. 156",
  "volume_a3_per_atom": 13.6
}

(2)
{
  "formula": "CrInTcN",
  "functional": "PBE",
  "state": "optimized geometry",
  "lattice_angstrom": [[3.647, 0.000, 0.000], [0.000, 2.895, 0.000], [0.000, 0.000, 11.278]],
  "species": ["Cr", "Cr", "In", "In", "Tc", "Tc", "N", "N"],
  "frac_coords": [[0.000, 0.000, 0.000], [0.000, 0.500, 0.500], [0.000, 0.000, 0.279], [0.000, 0.500, 0.779], [0.500, 0.000, 0.609], [0.500, 0.500, 0.109], [0.500, 0.000, 0.981], [0.500, 0.500, 0.481]],
  "space_group": "Amm2, No. 38",
  "volume_a3_per_atom": 14.9
}

(3)
{
  "formula": "CrInTcN",
  "functional": "PBE",
  "state": "optimized geometry",
  "lattice_angstrom": [[4.494, 0.000, 0.000], [0.000, 2.917, 0.000], [-1.253, 0.000, 4.569]],
  "species": ["Cr", "In", "Tc", "N"],
  "frac_coords": [[0.000, 0.000, 0.000], [0.371, 0.000, 0.582], [0.554, 0.500, 0.116], [0.845, 0.000, 0.330]],
  "space_group": "Pm, No. 6",
  "volume_a3_per_atom": 15.0
}

Which of them is the most stable? Correct choice: (2).

(1)
{
  "formula": "CrInTeN2",
  "functional": "PBE",
  "state": "optimized geometry",
  "lattice_angstrom": [[4.209, 0.000, 0.000], [0.000, 4.209, 0.000], [0.000, 0.000, 6.455]],
  "species": ["Cr", "In", "Te", "N", "N"],
  "frac_coords": [[0.000, 0.000, 0.000], [0.500, 0.500, 0.500], [0.500, 0.500, 0.000], [0.000, 0.500, 0.500], [0.500, 0.000, 0.500]],
  "space_group": "P4/mmm, No. 123",
  "volume_a3_per_atom": 22.9
}

(2)
{
  "formula": "CrInTeN2",
  "functional": "PBE",
  "state": "optimized geometry",
  "lattice_angstrom": [[3.938, 0.000, 0.000], [0.000, 3.938, 0.000], [0.000, 0.000, 5.613]],
  "species": ["Cr", "In", "Te", "N", "N"],
  "frac_coords": [[0.000, 0.000, 0.000], [0.500, 0.500, 0.500], [0.000, 0.000, 0.500], [0.000, 0.500, 0.000], [0.500, 0.000, 0.000]],
  "space_group": "P4/mmm, No. 123",
  "volume_a3_per_atom": 17.4
}

Which of them is the most stable? Correct choice: (2).

(1)
{
  "formula": "TlCrIn2N",
  "functional": "PBE",
  "state": "optimized geometry",
  "lattice_angstrom": [[5.513, 0.000, 0.000], [0.000, 5.513, 0.000], [0.000, 0.000, 3.691]],
  "species": ["Tl", "Cr", "In", "In", "N"],
  "frac_coords": [[0.000, 0.000, 0.000], [0.500, 0.500, 0.000], [0.000, 0.500, 0.500], [0.500, 0.000, 0.500], [0.500, 0.500, 0.500]],
  "space_group": "P4/mmm, No. 123",
  "volume_a3_per_atom": 22.4
}

(2)
{
  "formula": "TlCrIn2N",
  "functional": "PBE",
  "state": "optimized geometry",
  "lattice_angstrom": [[5.241, 0.000, 0.000], [0.000, 5.241, 0.000], [0.000, 0.000, 5.297]],
  "species": ["Tl", "Cr", "In", "In", "N"],
  "frac_coords": [[0.000, 0.000, 0.000], [0.000, 0.000, 0.500], [0.000, 0.500, 0.500], [0.500, 0.000, 0.500], [0.500, 0.500, 0.000]],
  "space_group": "P4/mmm, No. 123",
  "volume_a3_per_atom": 29.1
}

Which of them is the most stable? Correct choice: (1).

(1)
{
  "formula": "CrIn2Ni2",
  "functional": "PBE",
  "state": "optimized geometry",
  "lattice_angstrom": [[7.405, 0.000, 0.000], [0.000, 7.405, 0.000], [0.000, 0.000, 2.861]],
  "species": ["Cr", "Cr", "In", "In", "In", "In", "Ni", "Ni", "Ni", "Ni"],
  "frac_coords": [[0.000, 0.000, 0.000], [0.500, 0.500, 0.000], [0.149, 0.351, 0.000], [0.351, 0.851, 0.000], [0.649, 0.149, 0.000], [0.851, 0.649, 0.000], [0.152, 0.652, 0.500], [0.348, 0.152, 0.500], [0.652, 0.848, 0.500], [0.848, 0.348, 0.500]],
  "space_group": "P4/mbm, No. 127",
  "volume_a3_per_atom": 15.7
}

(2)
{
  "formula": "CrIn2Ni2",
  "functional": "PBE",
  "state": "optimized geometry",
  "lattice_angstrom": [[3.359, 0.000, 0.000], [0.000, 3.359, 0.000], [0.000, 0.000, 15.553]],
  "species": ["Cr", "Cr", "In", "In", "In", "In", "Ni", "Ni", "Ni", "Ni"],
  "frac_coords": [[0.000, 0.000, 0.000], [0.500, 0.500, 0.500], [0.000, 0.000, 0.384], [0.000, 0.000, 0.616], [0.500, 0.500, 0.116], [0.500, 0.500, 0.884], [0.000, 0.500, 0.250], [0.000, 0.500, 0.750], [0.500, 0.000, 0.250], [0.500, 0.000, 0.750]],
  "space_group": "I4/mmm, No. 139",
  "volume_a3_per_atom": 17.6
}

Which of them is the most stable? Correct choice: (2).